A geometry-optimized Dy3Fe5H12 structure, computed with GGA-PBE.

ρ ... 7.44 g cm⁻³
Calculated volume ... 1391 Å³ per cell
Raw total energy ... -799.469 eV/cell

Geometry as CIF:
```
data_Dy3Fe5H12
_chemical_formula_sum 'Dy24 Fe40 H96'
_cell_length_a 11.1619
_cell_length_b 11.1619
_cell_length_c 11.1619
_cell_angle_alpha 90.00
_cell_angle_beta 90.00
_cell_angle_gamma 90.00
_space_group_name_H-M_alt 'I a -3 d'
_space_group_IT_number 230
_space_group_name_Hall '-I 4bd 2c 3'
loop_
_atom_site_label
_atom_site_type_symbol
_atom_site_fract_x
_atom_site_fract_y
_atom_site_fract_z
_atom_site_occupancy
Dy1 Dy 0.0000 0.2500 0.1250 1
Fe1 Fe 0.0000 0.0000 0.0000 1
Fe2 Fe 0.0000 0.2500 0.3750 1
H1 H 0.0319 0.0520 0.6379 1
```